No. 1
A relaxed structure of ZrBe2InMo. Source: Alexandria via LeMat-Bulk, functional PBEsol.

Geometry as CIF:
```
data_ZrBe2InMo
_symmetry_space_group_name_H-M 'P 4/m m m'
_symmetry_Int_Tables_number 123
_symmetry_space_group_name_Hall '-P 4 2'
_cell_length_a 4.4632
_cell_length_b 4.4632
_cell_length_c 4.7637
_cell_angle_alpha 90.00
_cell_angle_beta 90.00
_cell_angle_gamma 90.00
loop_
_atom_site_label
_atom_site_fract_x
_atom_site_fract_y
_atom_site_fract_z
_atom_site_occupancy
Zr1 0.0000 0.0000 0.0000 1
Be1 0.0000 0.5000 0.5000 1
In1 0.5000 0.5000 0.0000 1
Mo1 0.0000 0.0000 0.5000 1
```

VASP energy, eV/atom: -5.483
Formation energy from the elements, eV per atom: 0.89

***

No. 2
A relaxed structure of Na3BeIn. Source: Alexandria via LeMat-Bulk, functional PBEsol.

Geometry as CIF:
```
data_Na3BeIn
_symmetry_space_group_name_H-M 'P m -3 m'
_symmetry_Int_Tables_number 221
_symmetry_space_group_name_Hall '-P 4 2 3'
_cell_length_a 5.3069
_cell_length_b 5.3069
_cell_length_c 5.3069
_cell_angle_alpha 90.00
_cell_angle_beta 90.00
_cell_angle_gamma 90.00
loop_
_atom_site_label
_atom_site_fract_x
_atom_site_fract_y
_atom_site_fract_z
_atom_site_occupancy
Na1 0.0000 0.0000 0.5000 1
Be1 0.0000 0.0000 0.0000 1
In1 0.5000 0.5000 0.5000 1
```

VASP energy, eV/atom: -1.645
Formation energy from the elements, eV per atom: 0.59

***

No. 3
A relaxed structure of Be2NbIn. Source: Alexandria via LeMat-Bulk, functional PBEsol.

Geometry as CIF:
```
data_Be2NbIn
_symmetry_space_group_name_H-M 'I -4 2 d'
_symmetry_Int_Tables_number 122
_symmetry_space_group_name_Hall 'I -4 2bw'
_cell_length_a 6.6213
_cell_length_b 6.6213
_cell_length_c 5.5099
_cell_angle_alpha 90.00
_cell_angle_beta 90.00
_cell_angle_gamma 90.00
loop_
_atom_site_label
_atom_site_fract_x
_atom_site_fract_y
_atom_site_fract_z
_atom_site_occupancy
Be1 0.2434 0.2500 0.1250 1
Nb1 0.0000 0.0000 0.5000 1
In1 0.0000 0.0000 0.0000 1
```

VASP energy, eV/atom: -4.906
Formation energy from the elements, eV per atom: 0.54

***

No. 4
A relaxed structure of BeInNi6. Source: Alexandria via LeMat-Bulk, functional PBEsol.

Geometry as CIF:
```
data_BeInNi6
_symmetry_space_group_name_H-M 'C m m m'
_symmetry_Int_Tables_number 65
_symmetry_space_group_name_Hall '-C 2 2'
_cell_length_a 5.9213
_cell_length_b 11.1757
_cell_length_c 10.7054
_cell_angle_alpha 90.00
_cell_angle_beta 90.00
_cell_angle_gamma 90.00
loop_
_atom_site_label
_atom_site_fract_x
_atom_site_fract_y
_atom_site_fract_z
_atom_site_occupancy
Be1 0.0000 0.0000 0.2246 1
Be2 0.0000 0.2707 0.0000 1
In1 0.0000 0.2697 0.5000 1
In2 0.0000 0.5000 0.2362 1
Ni1 0.0000 0.0000 0.0000 1
Ni2 0.0000 0.0000 0.5000 1
Ni3 0.0000 0.2642 0.2421 1
Ni4 0.0000 0.5000 0.0000 1
Ni5 0.0000 0.5000 0.5000 1
Ni6 0.2106 0.1167 0.3588 1
Ni7 0.2188 0.1366 0.1142 1
```

VASP energy, eV/atom: -5.578
Formation energy from the elements, eV per atom: -0.09

***

No. 5
A relaxed structure of BeIn3O. Source: Alexandria via LeMat-Bulk, functional PBEsol.

Geometry as CIF:
```
data_BeIn3O
_symmetry_space_group_name_H-M 'P m -3 m'
_symmetry_Int_Tables_number 221
_symmetry_space_group_name_Hall '-P 4 2 3'
_cell_length_a 4.6370
_cell_length_b 4.6370
_cell_length_c 4.6370
_cell_angle_alpha 90.00
_cell_angle_beta 90.00
_cell_angle_gamma 90.00
loop_
_atom_site_label
_atom_site_fract_x
_atom_site_fract_y
_atom_site_fract_z
_atom_site_occupancy
Be1 0.0000 0.0000 0.0000 1
In1 0.0000 0.0000 0.5000 1
O1 0.5000 0.5000 0.5000 1
```

VASP energy, eV/atom: -3.295
Uncorrected formation energy, meV per atom: 345

***

No. 6
A relaxed structure of BeInOs2. Source: Alexandria via LeMat-Bulk, functional PBEsol.

Geometry as CIF:
```
data_BeInOs2
_symmetry_space_group_name_H-M 'F m -3 m'
_symmetry_Int_Tables_number 225
_symmetry_space_group_name_Hall '-F 4 2 3'
_cell_length_a 6.0803
_cell_length_b 6.0803
_cell_length_c 6.0803
_cell_angle_alpha 90.00
_cell_angle_beta 90.00
_cell_angle_gamma 90.00
loop_
_atom_site_label
_atom_site_fract_x
_atom_site_fract_y
_atom_site_fract_z
_atom_site_occupancy
Be1 0.0000 0.0000 0.0000 1
In1 0.0000 0.0000 0.5000 1
Os1 0.2500 0.2500 0.2500 1
```

VASP energy, eV/atom: -7.280
Formation energy from the elements, eV per atom: 0.57
ΔE to the lowest computed polymorph, eV per atom: 0.284